1.
The following is a DFT calculation (PBE) of an optimized crystal structure of InB3I.

a = 4.6858 Å, b = 4.6858 Å, c = 4.6858 Å
α = 90.00°, β = 90.00°, γ = 90.00°
Space group Pm-3m (No. 221)
Symmetry-distinct sites (fractional):
In (0.0000, 0.0000, 0.0000)
B (0.0000, 0.0000, 0.5000)
I (0.5000, 0.5000, 0.5000)

Values from the calculation:
The raw total energy is -13.8 eV/cell. The calculation puts the excess energy over the best structure of this formula in the dataset at 0.000 eV/atom. The calculation puts the total magnetization at 0.00 μB per formula unit. The value obtained for the uncorrected formation energy is 2.1031 eV/atom.

2.
The following is a DFT calculation (PBE) of an optimized crystal structure of CaTh2Hg4.

a = 5.2439 Å, b = 5.2439 Å, c = 26.2086 Å
α = 90.00°, β = 90.00°, γ = 120.00°
Space group R-3m (No. 166, hexagonal axes)
Symmetry-distinct sites (fractional):
Ca (0.0000, 0.0000, 0.0000)
Th (0.0000, 0.0000, 0.2457)
Hg (0.0000, 0.0000, 0.1259)
Hg (0.0000, 0.0000, 0.3765)

Values from the calculation:
The raw total energy is -57.4 eV/cell. The calculation puts the total magnetization at 0.00 μB per formula unit. As for the energy of formation from the pure elements: -153 meV/atom.

3.
The following is a DFT calculation (PBE) of an optimized crystal structure of Y2InF.

a = 7.2428 Å, b = 7.2428 Å, c = 7.3896 Å
α = 90.00°, β = 90.00°, γ = 90.00°
Space group I-42d (No. 122)
Symmetry-distinct sites (fractional):
Y (0.1642, 0.2500, 0.1250)
In (0.0000, 0.0000, 0.5000)
F (0.0000, 0.0000, 0.0000)

Values from the calculation:
The raw total energy is -91.5 eV/cell. The calculation puts the excess energy over the best structure of this formula in the dataset at 0.000 eV/atom. The calculation puts the total magnetization at 0.00 μB per formula unit. The value obtained for the uncorrected formation energy is -1.3372 eV/atom.

4.
The following is a DFT calculation (PBE) of an optimized crystal structure of Sm6AsSe5.

a = 7.2308 Å, b = 12.5407 Å, c = 7.2599 Å
α = 90.00°, β = 109.29°, γ = 90.00°
Space group C2/m (No. 12)
Symmetry-distinct sites (fractional):
Sm (0.2438, 0.1625, 0.2434)
Sm (0.2450, 0.0000, 0.7564)
As (0.0000, 0.0000, 0.0000)
Se (0.0000, 0.1686, 0.5000)
Se (0.0000, 0.3332, 0.0000)
Se (0.0000, 0.5000, 0.5000)

Values from the calculation:
The raw total energy is -143.9 eV/cell. The calculation puts the total magnetization at 0.00 μB per formula unit. The value obtained for the uncorrected formation energy is -1.7979 eV/atom.

5.
The following is a DFT calculation (PBE) of an optimized crystal structure of Tb2NdAg2Pb2.

a = 4.9627 Å, b = 4.9627 Å, c = 26.4113 Å
α = 90.00°, β = 90.00°, γ = 120.00°
Space group R-3m (No. 166, hexagonal axes)
Symmetry-distinct sites (fractional):
Tb (0.0000, 0.0000, 0.1348)
Nd (0.0000, 0.0000, 0.0000)
Ag (0.0000, 0.0000, 0.4423)
Pb (0.0000, 0.0000, 0.2656)

Values from the calculation:
The raw total energy is -88.0 eV/cell. The calculation puts the total magnetization at 0.00 μB per formula unit. As for the energy of formation from the pure elements: -313 meV/atom.

6.
The following is a DFT calculation (PBE) of an optimized crystal structure of NaCa2TeS4.

a = 11.2019 Å, b = 11.1354 Å, c = 7.9899 Å
α = 90.00°, β = 130.08°, γ = 90.00°
Space group C2/c (No. 15)
Symmetry-distinct sites (fractional):
Na (0.0000, 0.0000, 0.0000)
Ca (0.0000, 0.5000, 0.0000)
Ca (0.2500, 0.2500, 0.0000)
Te (0.2500, 0.2500, 0.5000)
S (0.0302, 0.2497, 0.5337)
S (0.2363, 0.4925, 0.4735)

Values from the calculation:
The raw total energy is -138.2 eV/cell. The calculation puts the total magnetization at 0.00 μB per formula unit. The value obtained for the uncorrected formation energy is -1.1985 eV/atom.

7.
The following is a DFT calculation (PBE) of an optimized crystal structure of InSbO2.

a = 5.5849 Å, b = 5.5849 Å, c = 9.4744 Å
α = 90.00°, β = 90.00°, γ = 90.00°
Space group I-42d (No. 122)
Symmetry-distinct sites (fractional):
In (0.0000, 0.0000, 0.0000)
Sb (0.0000, 0.0000, 0.5000)
O (0.1976, 0.2500, 0.1250)

Values from the calculation:
The raw total energy is -78.8 eV/cell. The calculation puts the excess energy over the best structure of this formula in the dataset at 0.447 eV/atom. The calculation puts the total magnetization at 0.00 μB per formula unit. The value obtained for the uncorrected formation energy is -0.7336 eV/atom.

8.
The following is a DFT calculation (PBE) of an optimized crystal structure of Tm13Sc2.

a = 6.4254 Å, b = 8.7332 Å, c = 8.7485 Å
α = 65.48°, β = 81.30°, γ = 81.14°
Space group P-1 (No. 2)
Symmetry-distinct sites (fractional):
Tm (0.0000, 0.0000, 0.0000)
Tm (0.0954, 0.7757, 0.4206)
Tm (0.1955, 0.1998, 0.2029)
Tm (0.2812, 0.6204, 0.9827)
Tm (0.3111, 0.9525, 0.6431)
Tm (0.3977, 0.3995, 0.4035)
Tm (0.4829, 0.1735, 0.8385)
Sc (0.1058, 0.4484, 0.7494)

Values from the calculation:
The raw total energy is -69.7 eV/cell. The calculation puts the total magnetization at 0.00 μB per formula unit. As for the energy of formation from the pure elements: 74 meV/atom.

What is the total magnetization in the first record? 0.00 μB per formula unit

Repeat the fourth record exactly.
The following is a DFT calculation (PBE) of an optimized crystal structure of Sm6AsSe5.

a = 7.2308 Å, b = 12.5407 Å, c = 7.2599 Å
α = 90.00°, β = 109.29°, γ = 90.00°
Space group C2/m (No. 12)
Symmetry-distinct sites (fractional):
Sm (0.2438, 0.1625, 0.2434)
Sm (0.2450, 0.0000, 0.7564)
As (0.0000, 0.0000, 0.0000)
Se (0.0000, 0.1686, 0.5000)
Se (0.0000, 0.3332, 0.0000)
Se (0.0000, 0.5000, 0.5000)

Values from the calculation:
The raw total energy is -143.9 eV/cell. The calculation puts the total magnetization at 0.00 μB per formula unit. The value obtained for the uncorrected formation energy is -1.7979 eV/atom.

Which value of raw total energy does entry 6 give? -138.2 eV/cell

Copy entry 3 word for word.
The following is a DFT calculation (PBE) of an optimized crystal structure of Y2InF.

a = 7.2428 Å, b = 7.2428 Å, c = 7.3896 Å
α = 90.00°, β = 90.00°, γ = 90.00°
Space group I-42d (No. 122)
Symmetry-distinct sites (fractional):
Y (0.1642, 0.2500, 0.1250)
In (0.0000, 0.0000, 0.5000)
F (0.0000, 0.0000, 0.0000)

Values from the calculation:
The raw total energy is -91.5 eV/cell. The calculation puts the excess energy over the best structure of this formula in the dataset at 0.000 eV/atom. The calculation puts the total magnetization at 0.00 μB per formula unit. The value obtained for the uncorrected formation energy is -1.3372 eV/atom.